Density functional theory data (GGA-PBE) for crystalline Ho2PaS6 at its relaxed geometry.

Cell and atoms, written as extended XYZ:
```
18
Lattice="6.3371 0.0000 0.0000 0.0000 6.3371 0.0000 0.0000 0.0000 12.1554" Properties=species:S:1:pos:R:3 pbc="T T T"
Ho 0.0000 0.0000 4.0542
Ho 3.1685 3.1685 10.1320
Ho 3.1685 3.1685 2.0235
Ho 0.0000 0.0000 8.1012
Pa 0.0000 0.0000 0.0000
Pa 3.1685 3.1685 6.0777
S 1.9305 1.9305 4.1051
S 4.4066 4.4066 4.1051
S 1.2381 5.0990 10.1828
S 5.0990 1.2381 10.1828
S 1.2381 5.0990 1.9727
S 5.0990 1.2381 1.9727
S 1.9305 1.9305 8.0504
S 4.4066 4.4066 8.0504
S 1.8762 1.8762 0.0000
S 4.4609 4.4609 0.0000
S 1.2924 5.0447 6.0777
S 5.0447 1.2924 6.0777
```

## Properties
As for the density: 5.12 g cm⁻³. The total DFT energy (no corrections) is -6.42 eV/atom.